The following is a DFT calculation (GGA+U) of a geometry-optimized HoZnNi2O6 structure.

Cell and atoms, written as CIF:
```
data_HoZnNi2O6
_symmetry_space_group_name_H-M 'P m n 21'
_symmetry_Int_Tables_number 31
_symmetry_space_group_name_Hall 'P 2ac -2'
_cell_length_a 7.4175
_cell_length_b 5.4010
_cell_length_c 5.1106
_cell_angle_alpha 90.00
_cell_angle_beta 90.00
_cell_angle_gamma 90.00
loop_
_atom_site_label
_atom_site_type_symbol
_atom_site_fract_x
_atom_site_fract_y
_atom_site_fract_z
Ho1 Ho 0.0000 0.1763 0.0000
Zn1 Zn 0.0000 0.6903 0.4546
Ni1 Ni 0.2499 0.2569 0.4789
O1 O 0.0000 0.3089 0.5890
O2 O 0.0000 0.7838 0.8421
O3 O 0.1797 0.4646 0.1907
O4 O 0.1911 0.9416 0.2927
```

Summary:
DOS(E_F), states/eV/f.u.: 2.606
Electronic total energy, eV for the cell shown: -110.1
ρ, g/cm3: 7.2